# 1
Below is crystalline PuThTeS at its relaxed geometry, with properties calculated at the PBE level.

Cell lengths 4.147, 4.147, 7.524 Å; angles 74.00, 74.00, 60.00 degrees
Each line ends with the local moment (μB).
Fractional positions:
Pu 0.985 0.985 0.044  5.41
Te 0.748 0.748 0.757  -0.04
S 0.254 0.254 0.239  -0.06
Th 0.513 0.513 0.460  0.07

Computed properties:
- Space group: R3m, No. 160
- D(E_F): 1.518 states/eV/atom
- Total DFT energy (no corrections): -0.320 Ha/atom
- Formation energy (no corrections): -1446 meV/atom

***

# 2
Below is crystalline Cd12Hg3Bi5 at its relaxed geometry, with properties calculated at the PBE level.

Cell lengths 14.904, 14.904, 14.904 Å; angles 109.47, 109.47, 109.47 degrees
Fractional positions:
Bi 0.250 0.375 0.625
Cd 0.068 0.170 0.432
Hg 0.625 0.250 0.375
Cd 0.432 0.068 0.330
Cd 0.898 0.068 0.636
Bi 0.125 0.750 0.375
Cd 0.568 0.238 0.136
Hg 0.375 0.750 0.625
Cd 0.762 0.330 0.898
Bi 0.000 0.500 0.000
Bi 0.500 0.000 0.000
Cd 0.670 0.432 0.568
Hg 0.250 0.625 0.875
Cd 0.432 0.670 0.068
Bi 0.625 0.875 0.250
Bi 0.875 0.250 0.625
Cd 0.602 0.738 0.670
Cd 0.568 0.330 0.932
Cd 0.330 0.762 0.398
Bi 0.000 0.000 0.500
Cd 0.364 0.432 0.102
Cd 0.136 0.738 0.568
Cd 0.602 0.864 0.432
Bi 0.250 0.875 0.125
Cd 0.330 0.568 0.432
Bi 0.375 0.125 0.750
Cd 0.762 0.432 0.364
Cd 0.636 0.568 0.898
Bi 0.625 0.750 0.875
Cd 0.864 0.602 0.932
Cd 0.136 0.398 0.068
Cd 0.932 0.568 0.170
Bi 0.500 0.000 0.500
Cd 0.830 0.898 0.262
Cd 0.738 0.602 0.170
Cd 0.238 0.670 0.102
Cd 0.932 0.102 0.864
Bi 0.750 0.625 0.375
Cd 0.568 0.636 0.398
Cd 0.670 0.238 0.602
Cd 0.262 0.864 0.932
Cd 0.364 0.932 0.762
Hg 0.125 0.250 0.875
Bi 0.125 0.375 0.250
Cd 0.432 0.364 0.602
Hg 0.875 0.125 0.250
Bi 0.000 0.000 0.000
Hg 0.375 0.625 0.250
Bi 0.000 0.500 0.500
Cd 0.068 0.432 0.830
Cd 0.170 0.068 0.932
Cd 0.636 0.068 0.238
Hg 0.750 0.375 0.125
Bi 0.375 0.250 0.125
Cd 0.898 0.830 0.762
Bi 0.750 0.125 0.875
Cd 0.068 0.636 0.738
Cd 0.568 0.932 0.670
Hg 0.250 0.125 0.375
Cd 0.102 0.170 0.238
Cd 0.398 0.262 0.330
Cd 0.738 0.136 0.068
Cd 0.398 0.136 0.568
Cd 0.864 0.262 0.432
Cd 0.170 0.102 0.738
Hg 0.750 0.875 0.625
Cd 0.432 0.762 0.864
Cd 0.262 0.398 0.830
Hg 0.625 0.375 0.750
Hg 0.125 0.875 0.750
Bi 0.500 0.500 0.000
Hg 0.875 0.750 0.125
Cd 0.068 0.898 0.136
Cd 0.830 0.932 0.068
Cd 0.932 0.830 0.568
Cd 0.932 0.364 0.262
Bi 0.875 0.625 0.750
Bi 0.500 0.500 0.500
Cd 0.102 0.932 0.364
Cd 0.238 0.568 0.636

Computed properties:
- Space group: Ia-3d, No. 230
- D(E_F): 0.852 states/eV/atom
- Total DFT energy (no corrections): -0.053 Ha/atom

***

# 3
Below is crystalline Ho3Tm5Pb2 at its relaxed geometry, with properties calculated at the PBE level.

Cell lengths 6.293, 10.561, 10.561 Å; angles 96.08, 72.67, 72.67 degrees
Fractional positions:
Tm 0.750 0.500 0.500
Tm 0.603 0.233 0.561
Tm 0.250 0.500 0.500
Tm 0.897 0.439 0.767
Ho 0.619 0.669 0.093
Pb 0.645 0.005 0.706
Ho 0.881 0.907 0.331
Ho 0.381 0.331 0.907
Ho 0.250 0.000 0.000
Pb 0.145 0.706 0.005
Tm 0.397 0.767 0.439
Tm 0.498 0.252 0.252
Tm 0.002 0.748 0.748
Ho 0.119 0.093 0.669
Tm 0.103 0.561 0.233
Tm 0.998 0.252 0.252
Pb 0.855 0.294 0.995
Ho 0.750 0.000 0.000
Pb 0.355 0.995 0.294
Tm 0.502 0.748 0.748

Computed properties:
- Space group: Ibam, No. 72
- D(E_F): 1.105 states/eV/atom
- Total DFT energy (no corrections): -0.157 Ha/atom